P) VASP calculation (PBE) on an optimized crystal structure of ScTcW2.

The space group is Cmmm (No. 65) and the conventional cell measures 3.1948, 4.5599 and 9.1844 Å, with angles of 90.00, 90.00 and 90.00 degrees. Symmetry generates all atoms from Sc at (0.0000, 0.0000, 0.0000), Tc at (0.0000, 0.0000, 0.5000) and W at (0.0000, 0.5000, 0.2665).

---

Q) VASP calculation (PBE) on an optimized crystal structure of ScTcW2.

The space group is Cmmm (No. 65) and the conventional cell measures 5.2890, 9.2832 and 2.7318 Å, with angles of 90.00, 90.00 and 90.00 degrees. Symmetry generates all atoms from Sc at (0.0000, 0.0000, 0.0000), Tc at (0.0000, 0.5000, 0.0000) and W at (0.2500, 0.2500, 0.5000).

---

R) VASP calculation (PBE) on an optimized crystal structure of ScTcW2.

The space group is C2/m (No. 12) and the conventional cell measures 5.4236, 9.1656 and 2.7887 Å, with angles of 90.00, 108.79 and 90.00 degrees. Symmetry generates all atoms from Sc at (0.0000, 0.0000, 0.0000), Tc at (0.0000, 0.5000, 0.0000) and W at (0.2500, 0.2500, 0.5000).

---

S) VASP calculation (PBE) on an optimized crystal structure of ScTcW2.

The space group is P4/mmm (No. 123) and the conventional cell measures 3.1165, 3.1165 and 6.9245 Å, with angles of 90.00, 90.00 and 90.00 degrees. Symmetry generates all atoms from Sc at (0.0000, 0.0000, 0.0000), Tc at (0.0000, 0.0000, 0.5000) and W at (0.5000, 0.5000, 0.2748).

---

Q: Which of them is the most stable? A: R).

---

P) VASP calculation (PBE) on an optimized crystal structure of ScTcW2.

The space group is Fm-3m (No. 225) and the conventional cell measures 6.3824, 6.3824 and 6.3824 Å, with angles of 90.00, 90.00 and 90.00 degrees. Symmetry generates all atoms from Sc at (0.0000, 0.0000, 0.0000), Tc at (0.0000, 0.0000, 0.5000) and W at (0.2500, 0.2500, 0.2500).

---

Q) VASP calculation (PBE) on an optimized crystal structure of ScTcW2.

The space group is Pm (No. 6) and the conventional cell measures 2.8052, 4.4615 and 5.3377 Å, with angles of 90.00, 99.67 and 90.00 degrees. Symmetry generates all atoms from Sc at (0.0000, 0.0000, 0.0000), Tc at (0.7387, 0.5000, 0.2435), W at (0.2842, 0.5000, 0.7428) and W at (0.5135, 0.0000, 0.4960).

---

Q: Which of them is the most stable? A: Q).

---

P) VASP calculation (PBE) on an optimized crystal structure of ScTcW2.

The space group is P4/mmm (No. 123) and the conventional cell measures 4.5527, 4.5527 and 3.1504 Å, with angles of 90.00, 90.00 and 90.00 degrees. Symmetry generates all atoms from Sc at (0.0000, 0.0000, 0.0000), Tc at (0.5000, 0.5000, 0.0000) and W at (0.0000, 0.5000, 0.5000).

---

Q) VASP calculation (PBE) on an optimized crystal structure of ScTcW2.

The space group is R3m (No. 160, hexagonal axes) and the conventional cell measures 2.9234, 2.9234 and 27.3498 Å, with angles of 90.00, 90.00 and 120.00 degrees. Symmetry generates all atoms from Sc at (0.0000, 0.0000, 0.0000), Tc at (0.0000, 0.0000, 0.7513), W at (0.0000, 0.0000, 0.2441) and W at (0.0000, 0.0000, 0.4928).

---

R) VASP calculation (PBE) on an optimized crystal structure of ScTcW2.

The space group is R-3m (No. 166, hexagonal axes) and the conventional cell measures 2.9003, 2.9003 and 27.7552 Å, with angles of 90.00, 90.00 and 120.00 degrees. Symmetry generates all atoms from Sc at (0.0000, 0.0000, 0.0000), Tc at (0.0000, 0.0000, 0.5000) and W at (0.0000, 0.0000, 0.2449).

---

Q: Which of them is the most stable? A: P).

---

P) VASP calculation (PBE) on an optimized crystal structure of Sc2TcW2.

The space group is P4/mbm (No. 127) and the conventional cell measures 6.4578, 6.4578 and 4.6671 Å, with angles of 90.00, 90.00 and 90.00 degrees. Symmetry generates all atoms from Sc at (0.1693, 0.3307, 0.0000), Tc at (0.0000, 0.0000, 0.5000) and W at (0.1387, 0.6387, 0.5000).

---

Q) VASP calculation (PBE) on an optimized crystal structure of Sc2TcW2.

The space group is I4/mmm (No. 139) and the conventional cell measures 3.6778, 3.6778 and 13.9255 Å, with angles of 90.00, 90.00 and 90.00 degrees. Symmetry generates all atoms from Sc at (0.0000, 0.5000, 0.2500), Tc at (0.0000, 0.0000, 0.0000) and W at (0.0000, 0.0000, 0.4159).

---

Q: Which of them is the most stable? A: P).

---

P) VASP calculation (PBE) on an optimized crystal structure of YScTc.

The space group is P3m1 (No. 156) and the conventional cell measures 4.6218, 4.6218 and 3.4880 Å, with angles of 90.00, 90.00 and 120.00 degrees. Symmetry generates all atoms from Y at (0.0000, 0.0000, 0.0000), Sc at (0.3333, 0.6667, 0.4635) and Tc at (0.6667, 0.3333, 0.5944).

---

Q) VASP calculation (PBE) on an optimized crystal structure of YScTc.

The space group is Cmce (No. 64) and the conventional cell measures 6.3362, 12.2287 and 7.4440 Å, with angles of 90.00, 90.00 and 90.00 degrees. Symmetry generates all atoms from Y at (0.0000, 0.1911, 0.1112), Sc at (0.2500, 0.0484, 0.7500) and Tc at (0.0000, 0.0973, 0.4685).

---

Q: Which of them is the most stable? A: Q).

---

P) VASP calculation (PBE) on an optimized crystal structure of Y2ScTc2.

The space group is P4/mbm (No. 127) and the conventional cell measures 8.2718, 8.2718 and 3.1800 Å, with angles of 90.00, 90.00 and 90.00 degrees. Symmetry generates all atoms from Y at (0.1321, 0.3679, 0.0000), Sc at (0.0000, 0.0000, 0.0000) and Tc at (0.1768, 0.6768, 0.5000).

---

Q) VASP calculation (PBE) on an optimized crystal structure of Y2ScTc2.

The space group is I4/mmm (No. 139) and the conventional cell measures 3.5082, 3.5082 and 20.4621 Å, with angles of 90.00, 90.00 and 90.00 degrees. Symmetry generates all atoms from Y at (0.0000, 0.0000, 0.1245), Sc at (0.0000, 0.0000, 0.5000) and Tc at (0.0000, 0.5000, 0.2500).

---

Q: Which of them is the most stable? A: Q).